The following is a DFT calculation (PBEsol) of a geometry-optimized K3YPb structure.

a = 6.5860 Å, b = 6.5860 Å, c = 6.5860 Å
α = 90.00°, β = 90.00°, γ = 90.00°
Space group Pm-3m (No. 221)
Asymmetric unit:
1 K 0.0000 0.0000 0.5000
2 Y 0.0000 0.0000 0.0000
3 Pb 0.5000 0.5000 0.5000

Properties
The calculation puts the formation energy at 5.5 eV/f.u. For the total magnetization, the calculation gives 1.77 μB/cell.